## BaC3 (GGA-PBEsol)

Data for a geometry-optimized BaC3 structure.

Unit cell a=4.258 b=4.258 c=4.258 alpha=109.47 beta=109.47 gamma=109.47
Positions (direct):
C 0.000 0.500 0.500
C 0.500 0.000 0.500
C 0.500 0.500 0.000
Ba 0.000 0.000 0.000

Computed properties:
Its energy of formation from the pure elements is 3.304 eV/atom. Its space group is Im-3m, No. 229. As for the relative energy among the computed polymorphs: 2315 meV/atom.